Here is Ca2NiAsO6 after structural relaxation from Alexandria via LeMat-Bulk. Energies are from PBE with a Hubbard U.

abc: 5.1797 5.1797 4.5642
angles: 90.00 90.00 90.00
Fractional coordinates of all 10 atoms:
Ca (0.0000, 0.5000, 0.0000)
Ca (0.5000, 0.0000, 0.0000)
Ni (0.0000, 0.0000, 0.5483)
As (0.5000, 0.5000, 0.5386)
O (0.0000, 0.0000, 0.1199)
O (0.2636, 0.2636, 0.6496)
O (0.2636, 0.7364, 0.6496)
O (0.5000, 0.5000, 0.1589)
O (0.7364, 0.2636, 0.6496)
O (0.7364, 0.7364, 0.6496)

Summary:
SG ... P4mm, No. 99
E_tot ... -58.8 eV per formula unit
Magnetic moment ... 1.312 μB/cell